[1]
VASP calculation (GGA-PBEsol) on a relaxed Pr4Si2S3O7 crystal.

abc: 11.031 11.031 11.031
angles: 100.17 114.31 114.31
Positions (direct):
Pr  0.156  0.078  0.578
Pr  0.000  0.328  0.672
Pr  0.000  0.672  0.328
Pr  0.844  0.422  0.922
Pr  0.344  0.672  0.672
Pr  0.500  0.422  0.578
Pr  0.500  0.078  0.922
Pr  0.656  0.328  0.328
Pr  0.237  0.032  0.269
Pr  0.763  0.032  0.795
Pr  0.763  0.731  0.968
Pr  0.263  0.545  0.282
Pr  0.737  0.019  0.282
Pr  0.737  0.718  0.455
Pr  0.263  0.718  0.981
Pr  0.237  0.205  0.968
Si  0.876  0.278  0.154
Si  0.124  0.278  0.402
Si  0.124  0.846  0.722
Si  0.624  0.152  0.528
Si  0.376  0.904  0.528
Si  0.376  0.472  0.848
Si  0.624  0.472  0.096
Si  0.876  0.598  0.722
S  0.000  0.500  0.500
S  0.500  0.250  0.750
S  0.500  0.750  0.250
S  0.000  0.000  0.000
S  0.399  0.375  0.274
S  0.399  0.024  0.125
S  0.601  0.726  0.625
S  0.601  0.875  0.976
S  0.101  0.375  0.976
S  0.101  0.726  0.125
S  0.899  0.024  0.625
S  0.899  0.875  0.274
O  0.000  0.772  0.772
O  0.500  0.522  0.022
O  0.500  0.978  0.478
O  0.000  0.228  0.228
O  0.228  0.201  0.428
O  0.772  0.201  0.973
O  0.772  0.572  0.799
O  0.272  0.723  0.451
O  0.728  0.178  0.451
O  0.728  0.549  0.277
O  0.272  0.549  0.822
O  0.228  0.027  0.799
O  0.479  0.538  0.778
O  0.521  0.299  0.059
O  0.521  0.222  0.462
O  0.260  0.809  0.788
O  0.740  0.528  0.549
O  0.740  0.212  0.191
O  0.260  0.451  0.472
O  0.479  0.941  0.701
O  0.021  0.212  0.472
O  0.979  0.451  0.191
O  0.979  0.528  0.788
O  0.240  0.941  0.462
O  0.760  0.222  0.701
O  0.760  0.538  0.059
O  0.240  0.299  0.778
O  0.021  0.809  0.549

Properties
DOS at the Fermi energy ... 0.0000 states/eV/atom
Crystal system ... tetragonal
V ... 15.83 Å³ per atom
Formation energy (no corrections) ... -2.888 eV per atom
Total moment ... 0.02 μB/f.u.

---

[2]
VASP calculation (GGA-PBEsol) on a relaxed LaAu3F12 crystal.

abc: 8.153 8.153 8.153
angles: 80.90 80.90 80.90
Positions (direct):
La  0.250  0.250  0.250
La  0.750  0.750  0.750
Au  0.339  0.750  0.161
Au  0.839  0.661  0.250
Au  0.250  0.839  0.661
Au  0.661  0.250  0.839
Au  0.750  0.161  0.339
Au  0.161  0.339  0.750
F  0.199  0.377  0.508
F  0.508  0.199  0.377
F  0.377  0.508  0.199
F  0.123  0.301  0.992
F  0.992  0.123  0.301
F  0.301  0.992  0.123
F  0.801  0.623  0.492
F  0.492  0.801  0.623
F  0.477  0.250  0.023
F  0.250  0.023  0.477
F  0.023  0.477  0.250
F  0.523  0.750  0.977
F  0.750  0.977  0.523
F  0.977  0.523  0.750
F  0.842  0.250  0.658
F  0.250  0.658  0.842
F  0.658  0.842  0.250
F  0.158  0.750  0.342
F  0.750  0.342  0.158
F  0.342  0.158  0.750
F  0.699  0.008  0.877
F  0.008  0.877  0.699
F  0.877  0.699  0.008
F  0.623  0.492  0.801

Properties
DOS at the Fermi energy ... 0.0000 states/eV/atom
Crystal system ... trigonal
V ... 16.36 Å³ per atom
Formation energy (no corrections) ... -1.819 eV per atom
Total moment ... 0.00 μB/f.u.

---

[3]
VASP calculation (GGA-PBEsol) on a relaxed ScCo2Te crystal.

abc: 3.559 3.934 4.787
angles: 106.07 111.82 90.00
Positions (direct):
Co  0.011  0.060  0.022
Co  0.246  0.709  0.491
Sc  0.500  0.536  0.000
Te  0.743  0.196  0.487

Properties
DOS at the Fermi energy ... 0.6412 states/eV/atom
Excess energy over the best structure of this formula in the dataset ... 0.073 eV/atom
Crystal system ... monoclinic
V ... 14.85 Å³ per atom
Formation energy (no corrections) ... -0.196 eV per atom
Total moment ... 0.00 μB/f.u.

---

[4]
VASP calculation (GGA-PBEsol) on a relaxed Mn5CrO8 crystal.

abc: 5.818 6.078 5.844
angles: 118.59 90.00 118.60
Positions (direct):
Mn  0.371  0.742  0.116
Mn  0.629  0.258  0.884
Mn  0.000  0.000  0.000
Mn  0.500  0.500  0.500
Mn  0.000  0.500  0.500
Cr  0.000  0.000  0.500
O  0.777  0.554  0.297
O  0.749  0.498  0.716
O  0.251  0.502  0.284
O  0.223  0.446  0.703
O  0.772  0.993  0.753
O  0.221  0.993  0.753
O  0.779  0.007  0.247
O  0.228  0.007  0.247

Properties
DOS at the Fermi energy ... 0.2684 states/eV/atom
Crystal system ... monoclinic
V ... 10.87 Å³ per atom
Formation energy (no corrections) ... -1.536 eV per atom
Total moment ... 24.70 μB/f.u.

---

[5]
VASP calculation (GGA-PBEsol) on a relaxed LaAlO3 crystal.

abc: 7.018 7.037 10.170
angles: 90.00 90.00 119.91
Positions (direct):
La  0.171  0.341  0.500
La  0.171  0.341  0.000
La  0.829  0.659  0.500
La  0.829  0.659  0.000
La  0.500  0.000  0.000
La  0.500  0.000  0.500
Al  0.834  0.259  0.250
Al  0.425  0.259  0.750
Al  0.575  0.741  0.250
Al  0.166  0.741  0.750
Al  0.904  0.000  0.750
Al  0.096  0.000  0.250
O  0.164  0.243  0.750
O  0.079  0.243  0.250
O  0.834  0.354  0.408
O  0.834  0.354  0.092
O  0.520  0.354  0.592
O  0.520  0.354  0.908
O  0.480  0.646  0.408
O  0.480  0.646  0.092
O  0.166  0.646  0.592
O  0.166  0.646  0.908
O  0.836  0.757  0.250
O  0.921  0.757  0.750
O  0.410  0.000  0.750
O  0.812  0.000  0.589
O  0.812  0.000  0.911
O  0.188  0.000  0.089
O  0.188  0.000  0.411
O  0.590  0.000  0.250

Properties
DOS at the Fermi energy ... 0.0000 states/eV/atom
Crystal system ... orthorhombic
V ... 14.51 Å³ per atom
Formation energy (no corrections) ... -3.304 eV per atom
Total moment ... 0.00 μB/f.u.

---

[6]
VASP calculation (GGA-PBEsol) on a relaxed Y2SbW crystal.

abc: 3.743 3.743 6.515
angles: 90.00 90.00 90.00
Positions (direct):
Sb  0.500  0.500  0.000
W  0.500  0.500  0.500
Y  0.000  0.000  0.742
Y  0.000  0.000  0.258

Properties
DOS at the Fermi energy ... 0.8178 states/eV/atom
Crystal system ... tetragonal
V ... 22.82 Å³ per atom
Formation energy (no corrections) ... -0.075 eV per atom
Total moment ... 0.00 μB/f.u.

---

[7]
VASP calculation (GGA-PBEsol) on a relaxed Li2PtPbCl crystal.

abc: 4.833 4.833 5.124
angles: 90.00 90.00 90.00
Positions (direct):
Pb  0.000  0.000  0.500
Li  0.000  0.500  0.000
Li  0.500  0.000  0.000
Pt  0.000  0.000  0.000
Cl  0.500  0.500  0.500

Properties
DOS at the Fermi energy ... 0.2521 states/eV/atom
Crystal system ... tetragonal
V ... 23.94 Å³ per atom
Formation energy (no corrections) ... -0.386 eV per atom
Total moment ... 0.00 μB/f.u.

---

[8]
VASP calculation (GGA-PBEsol) on a relaxed CrInRh2 crystal.

abc: 2.847 4.587 4.855
angles: 101.55 90.00 108.08
Positions (direct):
Cr  0.500  0.000  0.000
In  0.000  0.000  0.500
Rh  0.758  0.516  0.771
Rh  0.242  0.484  0.229

Properties
DOS at the Fermi energy ... 0.9779 states/eV/atom
Uncorrected energy ... -29.5 eV/f.u.
Crystal system ... monoclinic
V ... 14.73 Å³ per atom
Total moment ... 2.54 μB/f.u.

---

[9]
VASP calculation (GGA-PBEsol) on a relaxed SrNbSn2Se crystal.

abc: 5.359 5.705 5.705
angles: 90.00 90.00 90.00
Positions (direct):
Sr  0.000  0.000  0.000
Nb  0.500  0.500  0.500
Sn  0.000  0.000  0.500
Sn  0.000  0.500  0.000
Se  0.500  0.000  0.000

Properties
DOS at the Fermi energy ... 1.2053 states/eV/atom
Excess energy over the best structure of this formula in the dataset ... 1.613 eV/atom
Crystal system ... tetragonal
V ... 34.89 Å³ per atom
Formation energy (no corrections) ... 1.348 eV per atom
Total moment ... 2.99 μB/f.u.

---

[10]
VASP calculation (GGA-PBEsol) on a relaxed CaBe2As2 crystal.

abc: 3.691 3.691 6.755
angles: 105.85 105.85 90.00
Positions (direct):
Be  0.250  0.750  0.500
Be  0.750  0.250  0.500
As  0.361  0.361  0.722
As  0.639  0.639  0.278
Ca  0.000  0.000  0.000

Properties
Uncorrected energy ... -23.2 eV/f.u.
Crystal system ... tetragonal
V ... 16.97 Å³ per atom
Total moment ... 0.00 μB/f.u.

---

[11]
VASP calculation (GGA-PBEsol) on a relaxed KGe2Br crystal.

abc: 5.229 5.229 5.229
angles: 60.00 60.00 60.00
Positions (direct):
Ge  0.250  0.250  0.250
Ge  0.750  0.750  0.750
K  0.000  0.000  0.000
Br  0.500  0.500  0.500

Properties
DOS at the Fermi energy ... 1.2130 states/eV/atom
Crystal system ... cubic
V ... 25.27 Å³ per atom
Formation energy (no corrections) ... 0.482 eV per atom
Total moment ... 0.00 μB/f.u.

---

[12]
VASP calculation (GGA-PBEsol) on a relaxed CsB3O crystal.

abc: 5.184 5.184 5.184
angles: 90.00 90.00 90.00
Positions (direct):
Cs  0.000  0.000  0.000
B  0.000  0.500  0.000
B  0.000  0.000  0.500
B  0.500  0.000  0.000
O  0.500  0.500  0.500

Properties
DOS at the Fermi energy ... 1.0826 states/eV/atom
Excess energy over the best structure of this formula in the dataset ... 1.499 eV/atom
Crystal system ... cubic
V ... 27.87 Å³ per atom
Formation energy (no corrections) ... 3.821 eV per atom
Total moment ... 0.48 μB/f.u.